1.
DFT (GGA-PBE) results for a relaxed YTlHg2 crystal. Values from VASP.

```
&SYSTEM
  ibrav = 0, nat = 4, ntyp = 3
/
ATOMIC_SPECIES
Y 88.91 Y.upf
Tl 204.38 Tl.upf
Hg 200.59 Hg.upf
CELL_PARAMETERS angstrom
5.234 -1.906 0.000
5.234 1.906 0.000
-1.495 0.000 5.270
ATOMIC_POSITIONS crystal
Y 0.000 0.000 0.000
Tl 0.500 0.500 0.500
Hg 0.254 0.254 0.758
Hg 0.746 0.746 0.242
```

Summary:
DFT formation energy ... -0.254 eV/atom
Space-group type ... C2/m (12)
Electronic total energy ... -2.613 eV per atom

=====

2.
DFT (GGA-PBE) results for a relaxed Cr2Ni3N4 crystal. Values from VASP.

```
&SYSTEM
  ibrav = 0, nat = 18, ntyp = 3
/
ATOMIC_SPECIES
Cr 52.00 Cr.upf
Ni 58.69 Ni.upf
N 14.01 N.upf
CELL_PARAMETERS angstrom
4.305 -3.622 0.000
4.305 3.622 0.000
-0.208 0.000 5.466
ATOMIC_POSITIONS crystal
Cr 0.060 0.313 0.357
Cr 0.313 0.060 0.857
Cr 0.687 0.940 0.143
Cr 0.940 0.687 0.643
Ni 0.150 0.850 0.250
Ni 0.279 0.492 0.994
Ni 0.492 0.279 0.494
Ni 0.508 0.721 0.506
Ni 0.721 0.508 0.006
Ni 0.850 0.150 0.750
N 0.060 0.257 0.020
N 0.221 0.566 0.480
N 0.257 0.060 0.520
N 0.434 0.779 0.020
N 0.566 0.221 0.980
N 0.743 0.940 0.480
N 0.779 0.434 0.520
N 0.940 0.743 0.980
```

Summary:
Space-group type ... C2/c (15)
Formation energy (no corrections) ... 0.021 eV per atom
Electronic total energy ... -7.745 eV per atom

=====

3.
DFT (GGA-PBE) results for a relaxed Y2ZnGe3 crystal. Values from VASP.

```
&SYSTEM
  ibrav = 0, nat = 24, ntyp = 3
/
ATOMIC_SPECIES
Y 88.91 Y.upf
Zn 65.41 Zn.upf
Ge 72.64 Ge.upf
CELL_PARAMETERS angstrom
6.729 0.000 0.000
0.000 4.216 0.000
0.000 0.000 17.919
ATOMIC_POSITIONS crystal
Y 0.187 0.250 0.083
Y 0.192 0.250 0.298
Y 0.308 0.750 0.798
Y 0.313 0.750 0.583
Y 0.687 0.250 0.417
Y 0.692 0.250 0.202
Y 0.808 0.750 0.702
Y 0.813 0.750 0.917
Zn 0.051 0.750 0.439
Zn 0.449 0.250 0.939
Zn 0.551 0.750 0.061
Zn 0.949 0.250 0.561
Ge 0.004 0.250 0.823
Ge 0.124 0.250 0.688
Ge 0.245 0.750 0.965
Ge 0.255 0.250 0.465
Ge 0.376 0.750 0.188
Ge 0.496 0.750 0.323
Ge 0.504 0.250 0.677
Ge 0.624 0.250 0.812
Ge 0.745 0.750 0.535
Ge 0.755 0.250 0.035
Ge 0.876 0.750 0.312
Ge 0.996 0.750 0.177
```

Summary:
DFT formation energy ... -0.660 eV/atom
Space-group type ... Pnma (62)
Electronic total energy ... -5.335 eV per atom

=====

4.
DFT (GGA-PBE) results for a relaxed RbPmHg2 crystal. Values from VASP.

```
&SYSTEM
  ibrav = 0, nat = 4, ntyp = 3
/
ATOMIC_SPECIES
Rb 85.47 Rb.upf
Pm 145.00 Pm.upf
Hg 200.59 Hg.upf
CELL_PARAMETERS angstrom
2.092 1.208 9.687
-2.092 1.208 9.687
0.000 -2.415 9.687
ATOMIC_POSITIONS crystal
Rb 0.000 0.000 0.000
Pm 0.500 0.500 0.500
Hg 0.236 0.236 0.236
Hg 0.764 0.764 0.764
```

Summary:
DFT formation energy ... -0.151 eV/atom
Space-group type ... R-3m (166)
Electronic total energy ... -1.732 eV per atom

=====

5.
DFT (GGA-PBE) results for a relaxed NaSnI4 crystal. Values from VASP.

```
&SYSTEM
  ibrav = 0, nat = 12, ntyp = 3
/
ATOMIC_SPECIES
Na 22.99 Na.upf
Sn 118.71 Sn.upf
I 126.90 I.upf
CELL_PARAMETERS angstrom
4.481 -8.909 0.000
4.481 8.909 0.000
-4.000 0.000 6.461
ATOMIC_POSITIONS crystal
Na 0.077 0.923 0.750
Na 0.923 0.077 0.250
Sn 0.423 0.577 0.250
Sn 0.577 0.423 0.750
I 0.089 0.464 0.273
I 0.202 0.314 0.775
I 0.314 0.202 0.275
I 0.464 0.089 0.773
I 0.536 0.911 0.227
I 0.686 0.798 0.725
I 0.798 0.686 0.225
I 0.911 0.536 0.727
```

Summary:
Space-group type ... C2/c (15)
Formation energy (no corrections) ... -0.609 eV per atom
Electronic total energy ... -2.529 eV per atom
ΔE to the lowest computed polymorph ... 0.026 eV/atom

=====

6.
DFT (GGA-PBE) results for a relaxed Li3YNi8 crystal. Values from VASP.

```
&SYSTEM
  ibrav = 0, nat = 12, ntyp = 3
/
ATOMIC_SPECIES
Li 6.94 Li.upf
Y 88.91 Y.upf
Ni 58.69 Ni.upf
CELL_PARAMETERS angstrom
2.410 1.391 7.864
-2.410 1.391 7.864
0.000 -2.782 7.864
ATOMIC_POSITIONS crystal
Li 0.000 0.000 0.000
Li 0.115 0.115 0.115
Li 0.631 0.631 0.631
Y 0.501 0.501 0.501
Ni 0.060 0.563 0.563
Ni 0.065 0.065 0.567
Ni 0.065 0.567 0.065
Ni 0.314 0.314 0.314
Ni 0.563 0.060 0.563
Ni 0.563 0.563 0.060
Ni 0.567 0.065 0.065
Ni 0.813 0.813 0.813
```

Summary:
DFT formation energy ... -0.176 eV/atom
Space-group type ... R3m (160)
Electronic total energy ... -5.047 eV per atom

=====

7.
DFT (GGA-PBE) results for a relaxed Sr2MgCu crystal. Values from VASP.

```
&SYSTEM
  ibrav = 0, nat = 4, ntyp = 3
/
ATOMIC_SPECIES
Sr 87.62 Sr.upf
Mg 24.30 Mg.upf
Cu 63.55 Cu.upf
CELL_PARAMETERS angstrom
3.781 -2.158 0.000
3.781 2.158 0.000
-2.416 0.000 8.976
ATOMIC_POSITIONS crystal
Sr 0.233 0.233 0.201
Sr 0.767 0.767 0.799
Mg 0.000 0.000 0.500
Cu 0.500 0.500 0.000
```

Summary:
DFT formation energy ... 0.102 eV/atom
Space-group type ... C2/m (12)
Electronic total energy ... -2.162 eV per atom

=====

8.
DFT (GGA-PBE) results for a relaxed NdPIrF crystal. Values from VASP.

```
&SYSTEM
  ibrav = 0, nat = 8, ntyp = 4
/
ATOMIC_SPECIES
Nd 144.24 Nd.upf
P 30.97 P.upf
Ir 192.22 Ir.upf
F 19.00 F.upf
CELL_PARAMETERS angstrom
3.945 0.000 0.000
0.000 3.945 0.000
0.000 0.000 8.529
ATOMIC_POSITIONS crystal
Nd 0.250 0.250 0.191
Nd 0.750 0.750 0.809
P 0.250 0.250 0.662
P 0.750 0.750 0.338
Ir 0.250 0.750 0.500
Ir 0.750 0.250 0.500
F 0.250 0.750 0.000
F 0.750 0.250 0.000
```

Summary:
Space-group type ... P4/nmm (129)
Formation energy (no corrections) ... -2.008 eV per atom
Electronic total energy ... -7.236 eV per atom

=====

9.
DFT (GGA-PBE) results for a relaxed CaTl2Ga2Au7 crystal. Values from VASP.

```
&SYSTEM
  ibrav = 0, nat = 12, ntyp = 4
/
ATOMIC_SPECIES
Ca 40.08 Ca.upf
Tl 204.38 Tl.upf
Ga 69.72 Ga.upf
Au 196.97 Au.upf
CELL_PARAMETERS angstrom
3.134 -3.083 0.000
3.134 3.083 0.000
-1.930 0.000 14.334
ATOMIC_POSITIONS crystal
Ca 0.000 0.000 0.000
Tl 0.089 0.089 0.380
Tl 0.911 0.911 0.620
Ga 0.403 0.403 0.754
Ga 0.597 0.597 0.246
Au 0.062 0.551 0.149
Au 0.414 0.414 0.581
Au 0.449 0.938 0.851
Au 0.500 0.500 0.000
Au 0.551 0.062 0.149
Au 0.586 0.586 0.419
Au 0.938 0.449 0.851
```

Summary:
DFT formation energy ... -0.234 eV/atom
Space-group type ... C2/m (12)
Electronic total energy ... -3.212 eV per atom

=====

10.
DFT (GGA-PBE) results for a relaxed Th2Ga12Au crystal. Values from VASP.

```
&SYSTEM
  ibrav = 0, nat = 30, ntyp = 3
/
ATOMIC_SPECIES
Th 232.04 Th.upf
Ga 69.72 Ga.upf
Au 196.97 Au.upf
CELL_PARAMETERS angstrom
6.248 0.000 0.000
0.000 6.248 0.000
0.000 0.000 15.421
ATOMIC_POSITIONS crystal
Th 0.250 0.750 0.250
Th 0.250 0.750 0.750
Th 0.750 0.250 0.250
Th 0.750 0.250 0.750
Ga 0.001 0.501 0.094
Ga 0.001 0.999 0.906
Ga 0.078 0.578 0.571
Ga 0.078 0.922 0.429
Ga 0.250 0.250 0.186
Ga 0.250 0.250 0.345
Ga 0.250 0.250 0.655
Ga 0.250 0.250 0.814
Ga 0.422 0.578 0.429
Ga 0.422 0.922 0.571
Ga 0.499 0.501 0.906
Ga 0.499 0.999 0.094
Ga 0.501 0.001 0.906
Ga 0.501 0.499 0.094
Ga 0.578 0.078 0.429
Ga 0.578 0.422 0.571
Ga 0.750 0.750 0.186
Ga 0.750 0.750 0.345
Ga 0.750 0.750 0.655
Ga 0.750 0.750 0.814
Ga 0.922 0.078 0.571
Ga 0.922 0.422 0.429
Ga 0.999 0.001 0.094
Ga 0.999 0.499 0.906
Au 0.250 0.750 0.000
Au 0.750 0.250 0.000
```

Summary:
DFT formation energy ... -0.315 eV/atom
Space-group type ... P4/nbm (125)
Electronic total energy ... -3.944 eV per atom

=====

Question: The highest electronic total energy belongs to which entry?
Answer: RbPmHg2

=====

Question: What is the electronic total energy in the first record?
Answer: -2.613 eV per atom

=====

Question: Which formula does entry 8 have?
Answer: NdPIrF